1.
First-principles (PBE) data for a relaxed La3NdEr6 crystal, as listed in Alexandria.

Results
- Crystal system: orthorhombic

Unit cell a=6.8617 b=9.9791 c=9.9791 alpha=93.46 beta=90.00 gamma=90.00
Atoms (fractional coordinates):
Er1 0.5183 0.2130 0.7870
Er2 0.8137 0.4746 0.0496
Er3 0.6988 0.5125 0.7189
Er4 0.3137 0.0496 0.4746
Er5 0.8137 0.9504 0.5254
Er6 0.1988 0.7189 0.5125
Er7 0.2510 0.9889 0.0111
Er8 0.7510 0.0111 0.9889
Er9 0.6988 0.2811 0.4875
Er10 0.0183 0.7870 0.2130
Er11 0.3137 0.5254 0.9504
Er12 0.1988 0.4875 0.2811
La1 0.2043 0.3954 0.6046
La2 0.9822 0.1656 0.2418
La3 0.4822 0.2418 0.1656
La4 0.7043 0.6046 0.3954
La5 0.9822 0.7582 0.8344
La6 0.4822 0.8344 0.7582
Nd1 0.5223 0.8094 0.1906
Nd2 0.0223 0.1906 0.8094

2.
First-principles (PBE) data for a relaxed LaNd2Er7 crystal, as listed in Alexandria.

Results
- Excess energy over the best structure of this formula in the dataset: 0.000 eV per formula unit
- Crystal system: orthorhombic

Unit cell a=9.7915 b=9.7915 c=5.3795 alpha=90.00 beta=90.00 gamma=130.58
Atoms (fractional coordinates):
Er1 0.0959 0.2930 0.5000
Er2 0.5000 0.5000 0.5000
Er3 0.2930 0.0959 0.5000
Er4 0.4033 0.5967 0.0000
Er5 0.9041 0.7070 0.5000
Er6 0.5967 0.4033 0.0000
Er7 0.7070 0.9041 0.5000
La1 0.0000 0.0000 0.0000
Nd1 0.2641 0.7359 0.5000
Nd2 0.7359 0.2641 0.5000

3.
First-principles (PBE) data for a relaxed La2NdEr9 crystal, as listed in Alexandria.

Results
- Excess energy over the best structure of this formula in the dataset: 0.000 eV per formula unit
- Crystal system: tetragonal

Unit cell a=5.0411 b=5.0411 c=15.1347 alpha=90.00 beta=90.00 gamma=90.00
Atoms (fractional coordinates):
Er1 0.5000 0.5000 0.0000
Er2 0.5000 0.0000 0.1646
Er3 0.5000 0.5000 0.6678
Er4 0.5000 0.5000 0.3322
Er5 0.0000 0.5000 0.1646
Er6 0.0000 0.5000 0.5000
Er7 0.5000 0.0000 0.5000
Er8 0.5000 0.0000 0.8354
Er9 0.0000 0.5000 0.8354
La1 0.0000 0.0000 0.3336
La2 0.0000 0.0000 0.6664
Nd1 0.0000 0.0000 0.0000

4.
First-principles (PBE) data for a relaxed LaNdEr2 crystal, as listed in Alexandria.

Results
- Excess energy over the best structure of this formula in the dataset: 0.033 eV per formula unit
- Crystal system: trigonal

Unit cell a=3.6276 b=3.6276 c=11.8583 alpha=81.20 beta=81.20 gamma=60.00
Atoms (fractional coordinates):
La1 0.6664 0.6664 0.0007
Nd1 0.5005 0.5005 0.4984
Er1 0.2497 0.2497 0.2508
Er2 0.0833 0.0833 0.7502

5.
First-principles (PBE) data for a relaxed La7NdEr4 crystal, as listed in Alexandria.

Results
- Crystal system: triclinic

Unit cell a=7.3711 b=6.4164 c=11.6873 alpha=79.47 beta=50.89 gamma=89.94
Atoms (fractional coordinates):
La1 0.6666 0.2225 0.3340
La2 0.7400 0.4987 0.0044
La3 0.0849 0.2814 0.6640
La4 0.2600 0.5013 0.9956
La5 0.9151 0.7186 0.3360
La6 0.3334 0.7775 0.6660
La7 0.5000 0.0000 0.0000
Nd1 0.0000 0.0000 0.0000
Er1 0.8364 0.7817 0.6629
Er2 0.4103 0.7241 0.3330
Er3 0.5897 0.2759 0.6670
Er4 0.1636 0.2183 0.3371

6.
First-principles (PBE) data for a relaxed LaNd7Er3 crystal, as listed in Alexandria.

Results
- Crystal system: monoclinic

Unit cell a=5.9488 b=8.5917 c=8.5917 alpha=83.68 beta=110.30 gamma=110.30
Site moments in Bohr magnetons follow the coordinates.
Atoms (fractional coordinates):
Er1 0.0000 0.2023 0.7977  0.00
Er2 0.0000 0.7977 0.2023  0.00
Er3 0.5000 0.0000 0.0000  0.00
Nd1 0.3007 0.0052 0.5963  0.00
Nd2 0.2094 0.2082 0.2082  0.00
Nd3 0.7906 0.7918 0.7918  0.00
Nd4 0.6993 0.4037 0.9948  0.00
Nd5 0.0000 0.5000 0.5000  0.12
Nd6 0.3007 0.5963 0.0052  0.00
Nd7 0.6993 0.9948 0.4037  0.00
La1 0.5000 0.5000 0.5000  0.11

7.
First-principles (PBE) data for a relaxed La4Nd5Er crystal, as listed in Alexandria.

Results
- Excess energy over the best structure of this formula in the dataset: 0.027 eV per formula unit
- Crystal system: monoclinic

Unit cell a=5.6664 b=10.7305 c=6.6163 alpha=90.18 beta=115.35 gamma=90.00
Atoms (fractional coordinates):
La1 0.0469 0.7535 0.0938
La2 0.6792 0.2497 0.3584
La3 0.3208 0.7503 0.6416
La4 0.9531 0.2465 0.9062
Nd1 0.1962 0.0645 0.3924
Nd2 0.1947 0.4370 0.3895
Nd3 0.8038 0.9355 0.6076
Nd4 0.8053 0.5630 0.6105
Nd5 0.5000 0.5000 0.0000
Er1 0.5000 0.0000 0.0000

8.
First-principles (PBE) data for a relaxed La4Nd5Er2 crystal, as listed in Alexandria.

Results
- Excess energy over the best structure of this formula in the dataset: 1.788 eV per formula unit
- Crystal system: orthorhombic

Unit cell a=3.5496 b=9.6040 c=12.6645 alpha=112.28 beta=98.06 gamma=90.00
Atoms (fractional coordinates):
La1 0.0000 0.2900 0.0000
La2 0.5931 0.5931 0.1862
La3 0.4069 0.4069 0.8138
La4 0.0000 0.7100 0.0000
Er1 0.7286 0.7286 0.4571
Er2 0.2714 0.2714 0.5429
Nd1 0.8466 0.6408 0.6931
Nd2 0.1534 0.3592 0.3069
Nd3 0.1534 0.9477 0.3069
Nd4 0.8466 0.0523 0.6931
Nd5 0.5000 0.0000 0.0000

9.
First-principles (PBE) data for a relaxed La3Nd4Er crystal, as listed in Alexandria.

Results
- Crystal system: orthorhombic

Unit cell a=3.5680 b=9.1563 c=9.1563 alpha=81.78 beta=78.76 gamma=78.76
Atoms (fractional coordinates):
La1 0.0000 0.5000 0.5000
La2 0.2408 0.7592 0.7592
La3 0.7592 0.2408 0.2408
Nd1 0.6329 0.1136 0.6205
Nd2 0.3671 0.8864 0.3795
Nd3 0.6329 0.6205 0.1136
Nd4 0.3671 0.3795 0.8864
Er1 0.5000 0.0000 0.0000

10.
First-principles (PBE) data for a relaxed LaNd2Er9 crystal, as listed in Alexandria.

Results
- Excess energy over the best structure of this formula in the dataset: 0.348 eV per formula unit
- Crystal system: hexagonal

Unit cell a=3.5236 b=11.2683 c=11.2683 alpha=120.00 beta=90.00 gamma=90.00
Atoms (fractional coordinates):
Nd1 0.0000 0.6667 0.3333
Nd2 0.0000 0.3333 0.6667
Er1 0.0000 0.0000 0.5000
Er2 0.5000 0.1772 0.8228
Er3 0.5000 0.8228 0.1772
Er4 0.5000 0.3543 0.1772
Er5 0.5000 0.6457 0.8228
Er6 0.0000 0.5000 0.0000
Er7 0.5000 0.8228 0.6457
Er8 0.0000 0.5000 0.5000
Er9 0.5000 0.1772 0.3543
La1 0.0000 0.0000 0.0000

11.
First-principles (PBE) data for a relaxed La3NdEr12 crystal, as listed in Alexandria.

Results
- Crystal system: tetragonal

Unit cell a=5.0442 b=5.0442 c=20.1790 alpha=90.00 beta=90.00 gamma=90.00
Atoms (fractional coordinates):
Er1 0.5000 0.0000 0.3746
Er2 0.0000 0.5000 0.8767
Er3 0.5000 0.5000 0.0000
Er4 0.5000 0.5000 0.2489
Er5 0.0000 0.5000 0.3746
Er6 0.5000 0.5000 0.7511
Er7 0.0000 0.5000 0.1233
Er8 0.0000 0.5000 0.6254
Er9 0.5000 0.5000 0.5000
Er10 0.5000 0.0000 0.8767
Er11 0.5000 0.0000 0.1233
Er12 0.5000 0.0000 0.6254
Nd1 0.0000 0.0000 0.0000
La1 0.0000 0.0000 0.5000
La2 0.0000 0.0000 0.2500
La3 0.0000 0.0000 0.7500

12.
First-principles (PBE) data for a relaxed La2Nd3Er7 crystal, as listed in Alexandria.

Results
- Excess energy over the best structure of this formula in the dataset: 0.000 eV per formula unit
- Crystal system: monoclinic

Unit cell a=3.5435 b=6.3855 c=18.0665 alpha=75.78 beta=90.00 gamma=90.00
Atoms (fractional coordinates):
Er1 0.0000 0.4359 0.8382
Er2 0.5000 0.2457 0.4990
Er3 0.5000 0.7543 0.5010
Er4 0.0000 0.0000 0.0000
Er5 0.0000 0.5641 0.1618
Er6 0.5000 0.0625 0.1634
Er7 0.5000 0.9375 0.8366
La1 0.5000 0.3786 0.6740
La2 0.5000 0.6214 0.3260
Nd1 0.5000 0.5000 0.0000
Nd2 0.0000 0.8840 0.6588
Nd3 0.0000 0.1160 0.3412

13.
First-principles (PBE) data for a relaxed La6Nd16Er7 crystal, as listed in Alexandria.

Results
- Crystal system: cubic

Unit cell a=11.3707 b=11.3707 c=11.3707 alpha=60.00 beta=60.00 gamma=60.00
Atoms (fractional coordinates):
Nd1 0.6541 0.6541 0.0376
Nd2 0.6541 0.0376 0.6541
Nd3 0.3683 0.8772 0.8772
Nd4 0.1228 0.6317 0.1228
Nd5 0.3459 0.9624 0.3459
Nd6 0.0376 0.6541 0.6541
Nd7 0.8772 0.3683 0.8772
Nd8 0.6541 0.6541 0.6541
Nd9 0.1228 0.1228 0.6317
Nd10 0.6317 0.1228 0.1228
Nd11 0.1228 0.1228 0.1228
Nd12 0.3459 0.3459 0.9624
Nd13 0.8772 0.8772 0.8772
Nd14 0.9624 0.3459 0.3459
Nd15 0.3459 0.3459 0.3459
Nd16 0.8772 0.8772 0.3683
Er1 0.5000 0.0000 0.5000
Er2 0.5000 0.5000 0.0000
Er3 0.0000 0.5000 0.5000
Er4 0.0000 0.5000 0.0000
Er5 0.0000 0.0000 0.0000
Er6 0.0000 0.0000 0.5000
Er7 0.5000 0.0000 0.0000
La1 0.2910 0.7090 0.7090
La2 0.7090 0.2910 0.7090
La3 0.7090 0.2910 0.2910
La4 0.2910 0.2910 0.7090
La5 0.7090 0.7090 0.2910
La6 0.2910 0.7090 0.2910

14.
First-principles (PBE) data for a relaxed LaNd12Er6 crystal, as listed in Alexandria.

Results
- Excess energy over the best structure of this formula in the dataset: 0.000 eV per formula unit
- Crystal system: trigonal

Unit cell a=8.6937 b=8.6937 c=8.6937 alpha=88.79 beta=88.79 gamma=88.79
Atoms (fractional coordinates):
Nd1 0.7811 0.5371 0.4325
Nd2 0.4325 0.7811 0.5371
Nd3 0.8035 0.6366 0.9835
Nd4 0.6366 0.9835 0.8035
Nd5 0.1965 0.3634 0.0165
Nd6 0.2189 0.4629 0.5675
Nd7 0.4629 0.5675 0.2189
Nd8 0.5675 0.2189 0.4629
Nd9 0.0165 0.1965 0.3634
Nd10 0.3634 0.0165 0.1965
Nd11 0.5371 0.4325 0.7811
Nd12 0.9835 0.8035 0.6366
Er1 0.2999 0.7414 0.9000
Er2 0.9000 0.2999 0.7414
Er3 0.7414 0.9000 0.2999
Er4 0.7001 0.2586 0.1000
Er5 0.1000 0.7001 0.2586
Er6 0.2586 0.1000 0.7001
La1 0.0000 0.0000 0.0000

15.
First-principles (PBE) data for a relaxed La12Nd5Er crystal, as listed in Alexandria.

Results
- Crystal system: monoclinic

Unit cell a=11.0858 b=11.1292 c=6.4252 alpha=73.04 beta=90.01 gamma=60.13
Atoms (fractional coordinates):
La1 0.5021 0.3332 0.4994
La2 0.1662 0.0001 0.5000
La3 0.4979 0.6668 0.5006
La4 0.6709 0.0000 0.9999
La5 0.0018 0.3322 0.0005
La6 0.3342 0.6679 0.9995
La7 0.6658 0.3321 0.0005
La8 0.1645 0.3332 0.4995
La9 0.8355 0.6668 0.5005
La10 0.8337 0.0000 0.5000
La11 0.9982 0.6678 0.9995
La12 0.3291 0.0000 0.0001
Nd1 0.3332 0.3333 0.9985
Nd2 0.6668 0.6666 0.0015
Nd3 0.8340 0.3318 0.5030
Nd4 0.5000 0.0000 0.5000
Nd5 0.1660 0.6682 0.4970
Er1 0.0000 0.0000 0.0000

16.
First-principles (PBE) data for a relaxed La6Nd4Er crystal, as listed in Alexandria.

Results
- Excess energy over the best structure of this formula in the dataset: 1.726 eV per formula unit
- Crystal system: tetragonal

Unit cell a=7.0184 b=7.0184 c=9.5847 alpha=111.48 beta=111.48 gamma=90.00
Atoms (fractional coordinates):
La1 0.1299 0.1299 0.6362
La2 0.0000 0.5000 0.0000
La3 0.5000 0.0000 0.0000
La4 0.8701 0.4937 0.3638
La5 0.4937 0.8701 0.3638
La6 0.5063 0.5063 0.6362
Nd1 0.2772 0.2772 0.2140
Nd2 0.9368 0.9368 0.2140
Nd3 0.0632 0.7228 0.7860
Nd4 0.7228 0.0632 0.7860
Er1 0.5000 0.5000 0.0000

17.
First-principles (PBE) data for a relaxed La6NdEr5 crystal, as listed in Alexandria.

Results
- Crystal system: triclinic

Unit cell a=6.2145 b=9.6590 c=11.2777 alpha=54.29 beta=58.73 gamma=49.92
Atoms (fractional coordinates):
La1 0.2519 0.5822 0.3353
La2 0.7481 0.4178 0.6647
La3 0.7509 0.7488 0.9999
La4 0.2491 0.2512 0.0001
La5 0.7513 0.0826 0.3354
La6 0.2487 0.9174 0.6646
Er1 0.5000 0.8330 0.3342
Er2 0.9978 0.6663 0.6671
Er3 0.0022 0.3337 0.3329
Er4 0.5000 0.1670 0.6658
Er5 0.5000 0.5000 0.0000
Nd1 0.0000 0.0000 0.0000

18.
First-principles (PBE) data for a relaxed La2Nd8Er crystal, as listed in Alexandria.

Results
- Excess energy over the best structure of this formula in the dataset: 0.209 eV per formula unit
- Crystal system: monoclinic

Unit cell a=6.0516 b=9.2281 c=9.5441 alpha=61.09 beta=74.83 gamma=57.23
Atoms (fractional coordinates):
Nd1 0.2969 0.4195 0.0000
Nd2 0.1767 0.9012 0.7710
Nd3 0.8233 0.3279 0.7710
Nd4 0.5000 0.2052 0.5896
Nd5 0.1767 0.6721 0.2290
Nd6 0.5000 0.7948 0.4104
Nd7 0.7031 0.5805 0.0000
Nd8 0.8233 0.0988 0.2290
La1 0.0000 0.6931 0.6138
La2 0.0000 0.3069 0.3862
Er1 0.5000 0.0000 0.0000

19.
First-principles (PBE) data for a relaxed La4Nd3Er4 crystal, as listed in Alexandria.

Results
- Excess energy over the best structure of this formula in the dataset: 1.381 eV per formula unit
- Crystal system: orthorhombic

Unit cell a=5.8032 b=6.7051 c=10.8583 alpha=90.00 beta=90.00 gamma=115.64
Atoms (fractional coordinates):
Er1 0.1065 0.2129 0.3076
Er2 0.6036 0.2072 0.5000
Er3 0.5542 0.1085 0.0000
Er4 0.1065 0.2129 0.6924
La1 0.8767 0.7533 0.5000
La2 0.7591 0.5183 0.2093
La3 0.9572 0.9143 0.0000
La4 0.7591 0.5183 0.7907
Nd1 0.2500 0.5000 0.0000
Nd2 0.4128 0.8256 0.2893
Nd3 0.4128 0.8256 0.7107

| no. | total magnetic moment (μB/atom) | ΔH_f (0 K) (eV/atom) |
| --- | --- | --- |
| 1 | 0.000 | 0.217 |
| 2 | 0.000 | 0.612 |
| 3 | 0.000 | 0.034 |
| 4 | 0.000 | 0.023 |
| 5 | 0.000 | 0.013 |
| 6 | 0.028 | 0.213 |
| 7 | 0.000 | 0.154 |
| 8 | 0.000 | 0.239 |
| 9 | 0.000 | 0.106 |
| 10 | 0.000 | 0.058 |
| 11 | 0.000 | 0.035 |
| 12 | 0.000 | 0.094 |
| 13 | 0.040 | 0.193 |
| 14 | 0.000 | 0.130 |
| 15 | 0.000 | 0.017 |
| 16 | 0.000 | 0.252 |
| 17 | 0.000 | 0.021 |
| 18 | 0.000 | 0.137 |
| 19 | 0.000 | 0.150 |